No. 1
First-principles (PBE) data for a geometry-optimized PrFe structure, as listed in the Open Quantum Materials Database.

Values from the calculation:
SG: No. 216
Energy relative to the elements (eV/atom): 1.4037
Total moment (Bohr magnetons per cell): 1.1

Geometry as extended XYZ:
```
2
Lattice="0.000 3.002 3.002 3.002 0.000 3.002 3.002 3.002 0.000" Properties=species:S:1:pos:R:3 pbc="T T T"
Pr 0.000 0.000 0.000
Fe 1.501 1.501 1.501
```

***

No. 2
First-principles (PBE) data for a geometry-optimized NaDy structure, as listed in the Open Quantum Materials Database.

Values from the calculation:
SG: No. 216
Total moment (Bohr magnetons per cell): 0.5
Relative energy among the computed polymorphs (kJ per mole of atoms): 122.2

Geometry as extended XYZ:
```
2
Lattice="0.000 3.528 3.528 3.528 0.000 3.528 3.528 3.528 0.000" Properties=species:S:1:pos:R:3 pbc="T T T"
Na 0.000 0.000 0.000
Dy 1.764 1.764 1.764
```

***

No. 3
First-principles (PBE) data for a geometry-optimized PrNi4B structure, as listed in the Open Quantum Materials Database.

Values from the calculation:
SG: No. 191
Total moment (Bohr magnetons per cell): 0.0

Geometry as extended XYZ:
```
12
Lattice="5.085 0.000 0.000 -2.543 4.404 0.000 0.000 0.000 7.003" Properties=species:S:1:pos:R:3 pbc="T T T"
Pr 0.000 0.000 0.000
Pr 0.000 0.000 3.501
Ni -1.271 2.202 1.441
Ni -1.271 2.202 5.562
Ni 0.000 2.936 3.501
Ni 2.543 0.000 1.441
Ni 2.543 0.000 5.562
Ni 1.271 2.202 1.441
Ni 1.271 2.202 5.562
Ni 2.543 1.468 3.501
B 0.000 2.936 0.000
B 2.543 1.468 0.000
```

***

No. 4
First-principles (PBE) data for a geometry-optimized RbYBAu structure, as listed in the Open Quantum Materials Database.

Values from the calculation:
SG: No. 216
Total moment (Bohr magnetons per cell): 0.0
Relative energy among the computed polymorphs (kJ per mole of atoms): 14.6

Geometry as extended XYZ:
```
4
Lattice="0.000 3.460 3.460 3.460 0.000 3.460 3.460 3.460 0.000" Properties=species:S:1:pos:R:3 pbc="T T T"
Rb 0.000 0.000 0.000
Y 1.730 1.730 1.730
B 3.460 3.460 3.460
Au 5.190 5.190 5.190
```

***

No. 5
First-principles (PBE) data for a geometry-optimized LiMg2Zn structure, as listed in the Open Quantum Materials Database.

Values from the calculation:
SG: No. 62

Geometry as extended XYZ:
```
16
Lattice="7.239 0.000 0.000 0.000 8.266 0.000 0.000 0.000 5.451" Properties=species:S:1:pos:R:3 pbc="T T T"
Li 0.193 2.066 0.588
Li 3.427 6.199 3.314
Li 3.812 2.066 2.137
Li 7.046 6.199 4.863
Mg 1.278 0.477 3.426
Mg 1.278 3.656 3.426
Mg 2.341 4.610 0.701
Mg 2.341 7.789 0.701
Mg 4.898 0.477 4.751
Mg 4.898 3.656 4.751
Mg 5.961 4.610 2.025
Mg 5.961 7.789 2.025
Zn 0.917 6.199 2.374
Zn 2.703 2.066 5.100
Zn 4.536 6.199 0.351
Zn 6.322 2.066 3.077
```

***

No. 6
First-principles (PBE) data for a geometry-optimized Li4CuSn2Pt structure, as listed in the Open Quantum Materials Database.

Values from the calculation:
SG: No. 115
Total moment (Bohr magnetons per cell): 0.0

Geometry as extended XYZ:
```
8
Lattice="4.454 0.000 0.000 0.000 4.454 0.000 0.000 0.000 6.284" Properties=species:S:1:pos:R:3 pbc="T T T"
Li 0.000 0.000 0.000
Li 0.000 2.227 1.567
Li 2.227 0.000 4.717
Li 2.227 2.227 3.142
Cu 0.000 0.000 3.142
Sn 0.000 2.227 4.700
Sn 2.227 0.000 1.583
Pt 2.227 2.227 0.000
```

***

No. 7
First-principles (PBE) data for a geometry-optimized BaHgSeO structure, as listed in the Open Quantum Materials Database.

Values from the calculation:
SG: No. 62

Geometry as extended XYZ:
```
16
Lattice="6.596 0.000 0.000 0.000 4.359 0.000 0.000 0.000 15.047" Properties=species:S:1:pos:R:3 pbc="T T T"
Ba 1.637 1.090 1.624
Ba 1.661 3.269 9.148
Ba 4.935 1.090 5.899
Ba 4.959 3.269 13.422
Hg 1.294 1.090 12.400
Hg 2.004 3.269 4.877
Hg 4.592 1.090 10.170
Hg 5.302 3.269 2.647
Se 1.634 1.090 6.421
Se 1.664 3.269 13.944
Se 4.932 1.090 1.103
Se 4.962 3.269 8.626
O 1.149 3.269 2.840
O 2.149 1.090 10.364
O 4.447 3.269 4.683
O 5.447 1.090 12.207
```

***

No. 8
First-principles (PBE) data for a geometry-optimized Hg3Se2Cl2O6 structure, as listed in the Open Quantum Materials Database.

Values from the calculation:
SG: No. 12

Geometry as extended XYZ:
```
13
Lattice="4.917 -3.474 0.000 4.917 3.474 0.000 -3.683 0.000 6.920" Properties=species:S:1:pos:R:3 pbc="T T T"
Hg 0.000 0.000 0.000
Hg 3.736 0.000 1.662
Hg 2.415 0.000 5.258
Se -1.163 0.000 5.031
Se 7.314 0.000 1.889
Cl 1.354 0.000 2.723
Cl 4.797 0.000 4.197
O 3.414 2.235 1.196
O 2.737 2.235 5.724
O 0.204 0.000 6.054
O 5.947 0.000 0.866
O 3.414 -2.235 1.196
O 2.737 -2.235 5.724
```

***

Number 1: final energy -5.138 eV/atom. Number 2: final energy -1.420 eV/atom. Number 3: final energy -6.023 eV/atom. Number 4: final energy -3.515 eV/atom. Number 5: final energy -1.620 eV/atom. Number 6: final energy -3.664 eV/atom. Number 7: final energy -3.991 eV/atom. Number 8: final energy -3.739 eV/atom.